{
  "formula": "CaHoInPb",
  "functional": "PBE-GGA",
  "state": "optimized geometry",
  "lattice": [[5.433, 0.000, 0.000], [2.716, 4.705, 0.000], [2.716, 1.568, 4.436]],
  "species": ["Pb", "Ca", "Ho", "In"],
  "fractional_positions": [[0.750, 0.750, 0.750], [0.500, 0.500, 0.500], [0.000, 0.000, 0.000], [0.250, 0.250, 0.250]],
  "total_magnetization_mub_per_fu": 0.00,
  "total_energy_ev_per_atom": -3.671,
  "sg": "F-43m, No. 216",
  "e_form_ev_per_atom": -0.41
}

{
  "formula": "CaHoInPd",
  "functional": "PBE-GGA",
  "state": "optimized geometry",
  "lattice": [[5.164, 0.000, 0.000], [2.582, 4.472, 0.000], [2.582, 1.491, 4.216]],
  "species": ["Ca", "Ho", "Pd", "In"],
  "fractional_positions": [[0.750, 0.750, 0.750], [0.250, 0.250, 0.250], [0.000, 0.000, 0.000], [0.500, 0.500, 0.500]],
  "total_magnetization_mub_per_fu": 0.00,
  "total_energy_ev_per_atom": -4.181,
  "sg": "F-43m, No. 216",
  "e_form_ev_per_atom": -0.55
}

{
  "formula": "CaPmHoIn",
  "functional": "PBE-GGA",
  "state": "optimized geometry",
  "lattice": [[-3.405, -1.361, -4.143], [-3.209, -4.488, 0.417], [-5.470, 0.557, 0.619]],
  "species": ["Ca", "In", "Ho", "Pm"],
  "fractional_positions": [[0.750, 0.750, 0.750], [0.250, 0.250, 0.250], [0.500, 0.500, 0.500], [0.000, 0.000, 0.000]],
  "total_magnetization_mub_per_fu": 0.00,
  "total_energy_ev_per_atom": -3.671,
  "sg": "F-43m, No. 216",
  "e_form_ev_per_atom": -0.15
}